Entry 1:
Material: NiHgP2Cl
Method: DFT, PBE
State: relaxed

Computed properties:
The relative energy among the computed polymorphs comes out at 0 meV/atom. As for the density: 6.01 g/cm3. The spin magnetization comes out at 0.193 μB per atom.

a b c (Å): 4.410 4.410 5.070
angles (deg): 90.00 90.00 90.00
Site moments in Bohr magnetons follow the coordinates.
Element x y z (fractional)
1 Ni 0.000 0.000 0.000  0.14
2 Hg 0.500 0.500 0.500  0.00
3 P 0.000 0.500 0.000  0.18
4 P 0.500 0.000 0.000  0.18
5 Cl 0.000 0.000 0.500  0.07

=====

Entry 2:
Material: CuPO
Method: DFT, PBE
State: relaxed

Computed properties:
The relative energy among the computed polymorphs comes out at 19 meV/atom. As for the density: 4.29 g/cm3. The spin magnetization comes out at 0.000 μB per atom.

a b c (Å): 3.109 3.109 9.373
angles (deg): 90.00 109.20 90.00
Element x y z (fractional)
1 Cu 0.620 0.000 0.476
2 Cu 0.620 0.500 0.976
3 P 0.226 0.000 0.084
4 P 0.226 0.500 0.584
5 O 0.396 0.000 0.256
6 O 0.396 0.500 0.756

=====

Entry 3:
Material: ScTi2NbN
Method: DFT, PBE
State: relaxed

Computed properties:
The relative energy among the computed polymorphs comes out at 1823 meV/atom. As for the density: 4.45 g/cm3. The spin magnetization comes out at 0.000 μB per atom.

a b c (Å): 4.884 3.876 4.884
angles (deg): 90.00 90.00 90.00
Element x y z (fractional)
1 Sc 0.000 0.000 0.000
2 Nb 0.500 0.500 0.500
3 N 0.000 0.500 0.000
4 Ti 0.000 0.000 0.500
5 Ti 0.500 0.000 0.000

=====

Entry 4:
Material: FeAg2Pd4
Method: DFT, PBE
State: relaxed

Computed properties:
The relative energy among the computed polymorphs comes out at 623 meV/atom. As for the density: 8.17 g/cm3. The spin magnetization comes out at 0.634 μB per atom.

a b c (Å): 4.624 4.624 7.394
angles (deg): 108.22 108.22 90.00
Site moments in Bohr magnetons follow the coordinates.
Element x y z (fractional)
1 Fe 0.000 0.000 0.000  3.20
2 Ag 0.620 0.620 0.240  0.02
3 Ag 0.380 0.380 0.760  0.02
4 Pd 0.823 0.823 0.646  0.27
5 Pd 0.177 0.177 0.354  0.27
6 Pd 0.000 0.500 0.000  0.31
7 Pd 0.500 0.000 0.000  0.31

=====

Entry 5:
Material: K2CoOs
Method: DFT, PBE
State: relaxed

Computed properties:
The relative energy among the computed polymorphs comes out at 579 meV/atom. As for the density: 6.83 g/cm3. The spin magnetization comes out at 0.350 μB per atom.

a b c (Å): 2.724 2.724 11.194
angles (deg): 90.00 90.00 106.68
Site moments in Bohr magnetons follow the coordinates.
Element x y z (fractional)
1 Co 0.500 0.500 0.750  1.74
2 K 0.000 0.000 0.998  -0.03
3 K 0.000 0.000 0.502  -0.03
4 Os 0.500 0.500 0.250  -0.04

=====

Entry 6:
Material: Ba2Cl3
Method: DFT, PBE
State: relaxed

Computed properties:
The relative energy among the computed polymorphs comes out at 0 meV/atom. As for the density: 3.39 g/cm3. The spin magnetization comes out at 0.180 μB per atom.

a b c (Å): 8.520 8.520 7.705
angles (deg): 56.43 56.43 60.00
Site moments in Bohr magnetons follow the coordinates.
Element x y z (fractional)
1 Ba 0.872 0.872 0.383  0.12
2 Ba 0.372 0.372 0.883  0.12
3 Ba 0.128 0.128 0.617  0.12
4 Ba 0.628 0.628 0.117  0.12
5 Cl 0.033 0.750 0.750  0.01
6 Cl 0.750 0.467 0.750  0.01
7 Cl 0.467 0.033 0.750  0.01
8 Cl 0.250 0.533 0.250  0.01
9 Cl 0.533 0.967 0.250  0.01
10 Cl 0.967 0.250 0.250  0.01

=====

Entry 7:
Material: LaYSi4
Method: DFT, PBE
State: relaxed

Computed properties:
The relative energy among the computed polymorphs comes out at 194 meV/atom. As for the density: 4.93 g/cm3. The spin magnetization comes out at 0.000 μB per atom.

a b c (Å): 5.453 5.453 5.453
angles (deg): 60.00 60.00 60.00
Element x y z (fractional)
1 La 0.000 0.000 0.000
2 Y 0.750 0.750 0.750
3 Si 0.858 0.381 0.381
4 Si 0.381 0.381 0.858
5 Si 0.381 0.858 0.381
6 Si 0.381 0.381 0.381

=====

Entry 8:
Material: La2Pr2Th
Method: DFT, PBE
State: relaxed

Computed properties:
The relative energy among the computed polymorphs comes out at 0 meV/atom. As for the density: 7.40 g/cm3. The spin magnetization comes out at 0.000 μB per atom.

a b c (Å): 3.698 3.698 15.144
angles (deg): 82.99 82.99 60.00
Element x y z (fractional)
1 La 0.866 0.866 0.401
2 La 0.134 0.134 0.599
3 Pr 0.397 0.397 0.810
4 Pr 0.603 0.603 0.190
5 Th 0.000 0.000 0.000

=====

Entry 9:
Material: AcLaHgTe
Method: DFT, PBE
State: relaxed

Computed properties:
The relative energy among the computed polymorphs comes out at 175 meV/atom. As for the density: 9.00 g/cm3. The spin magnetization comes out at 0.001 μB per atom.

a b c (Å): 5.658 5.658 5.658
angles (deg): 60.00 60.00 60.00
Element x y z (fractional)
1 Ac 0.500 0.500 0.500
2 Te 0.250 0.250 0.250
3 Hg 0.750 0.750 0.750
4 La 0.000 0.000 0.000

=====

Entry 10:
Material: LiRuI2O
Method: DFT, PBE
State: relaxed

Computed properties:
The relative energy among the computed polymorphs comes out at 935 meV/atom. As for the density: 6.66 g/cm3. The spin magnetization comes out at 0.403 μB per atom.

a b c (Å): 5.224 5.224 3.453
angles (deg): 90.00 90.00 90.00
Site moments in Bohr magnetons follow the coordinates.
Element x y z (fractional)
1 I 0.000 0.500 0.000  0.10
2 I 0.500 0.000 0.000  0.10
3 Ru 0.500 0.500 0.500  0.80
4 O 0.000 0.000 0.500  0.75
5 Li 0.000 0.000 0.000  -0.01

=====

Entry 11:
Material: SrMgZr
Method: DFT, PBE
State: relaxed

Computed properties:
The relative energy among the computed polymorphs comes out at 136 meV/atom. As for the density: 3.80 g/cm3. The spin magnetization comes out at 0.000 μB per atom.

a b c (Å): 7.397 7.397 3.575
angles (deg): 76.02 76.01 27.97
Element x y z (fractional)
1 Mg 0.979 0.979 0.021
2 Sr 0.666 0.666 0.334
3 Zr 0.356 0.356 0.644

=====

Entry 12:
Material: CsGeO
Method: DFT, PBE
State: relaxed

Computed properties:
The relative energy among the computed polymorphs comes out at 315 meV/atom. As for the density: 4.85 g/cm3. The spin magnetization comes out at 0.000 μB per atom.

a b c (Å): 4.024 3.287 11.462
angles (deg): 90.00 90.00 90.00
Element x y z (fractional)
1 Cs 0.000 0.000 0.653
2 Cs 0.000 0.500 0.153
3 Ge 0.500 0.000 0.398
4 Ge 0.500 0.500 0.898
5 O 0.500 0.000 0.999
6 O 0.500 0.500 0.499

=====

Entry 13:
Material: YTaBr2
Method: DFT, PBE
State: relaxed

Computed properties:
The relative energy among the computed polymorphs comes out at 0 meV/atom. As for the density: 6.89 g/cm3. The spin magnetization comes out at 0.000 μB per atom.

a b c (Å): 3.329 3.329 9.895
angles (deg): 70.74 90.00 90.00
Element x y z (fractional)
1 Y 0.500 0.764 0.738
2 Br 0.000 0.063 0.943
3 Br 0.500 0.167 0.327
4 Ta 0.000 0.506 0.491